Record 1
Crystalline TaAgPb3 at its relaxed geometry. Source: Alexandria via LeMat-Bulk, functional PBE.

The structure belongs to space group Pm-3m (No. 221); the cell edges are 5.512, 5.512 and 5.512 Å and the angles 90.00°, 90.00° and 90.00°. The asymmetric unit holds Ta at (0.000, 0.000, 0.000), Ag at (0.500, 0.500, 0.500) and Pb at (0.000, 0.000, 0.500).

The formation energy comes out at 684 meV per atom. Its energy above the most stable polymorph in this dataset is 0.00 eV/f.u. The uncorrected energy comes out at -4.48 eV/atom.

---

Record 2
Crystalline TaAg3Pb at its relaxed geometry. Source: Alexandria via LeMat-Bulk, functional PBE.

The structure belongs to space group Pm-3m (No. 221); the cell edges are 5.185, 5.185 and 5.185 Å and the angles 90.00°, 90.00° and 90.00°. The asymmetric unit holds Ta at (0.000, 0.000, 0.000), Ag at (0.000, 0.500, 0.500) and Pb at (0.500, 0.500, 0.500).

The formation energy comes out at 1592 meV per atom. Its energy above the most stable polymorph in this dataset is 1.70 eV/f.u. The uncorrected energy comes out at -3.23 eV/atom.

---

Record 3
Crystalline TaAg2Pb at its relaxed geometry. Source: Alexandria via LeMat-Bulk, functional PBE.

The structure belongs to space group Pmm2 (No. 25); the cell edges are 3.000, 3.973 and 6.859 Å and the angles 90.00°, 90.00° and 90.00°. The asymmetric unit holds Ta at (0.000, 0.000, 0.000), Ag at (0.000, 0.000, 0.439), Ag at (0.500, 0.500, 0.226) and Pb at (0.500, 0.500, 0.728).

The formation energy comes out at 444 meV per atom. The uncorrected energy comes out at -4.87 eV/atom.

---

Record 4
Crystalline TaAgPb at its relaxed geometry. Source: Alexandria via LeMat-Bulk, functional PBE.

The structure belongs to space group I4mm (No. 107); the cell edges are 3.022, 3.022 and 14.136 Å and the angles 90.00°, 90.00° and 90.00°. The asymmetric unit holds Ta at (0.000, 0.000, 0.000), Ag at (0.000, 0.000, 0.355) and Pb at (0.000, 0.000, 0.668).

The formation energy comes out at 461 meV per atom. The uncorrected energy comes out at -5.68 eV/atom.

---

Record 5
Crystalline TaAg2Pb at its relaxed geometry. Source: Alexandria via LeMat-Bulk, functional PBE.

The structure belongs to space group C2/m (No. 12); the cell edges are 5.849, 10.599 and 2.957 Å and the angles 90.00°, 117.78° and 90.00°. The asymmetric unit holds Ta at (0.000, 0.000, 0.000), Ag at (0.250, 0.250, 0.500) and Pb at (0.000, 0.500, 0.000).

The formation energy comes out at 437 meV per atom. The uncorrected energy comes out at -4.88 eV/atom.

---

Record 6
Crystalline TaAgPb3 at its relaxed geometry. Source: Alexandria via LeMat-Bulk, functional PBE.

The structure belongs to space group Pm-3m (No. 221); the cell edges are 5.364, 5.364 and 5.364 Å and the angles 90.00°, 90.00° and 90.00°. The asymmetric unit holds Ta at (0.000, 0.000, 0.000), Ag at (0.500, 0.500, 0.500) and Pb at (0.000, 0.500, 0.500).

The formation energy comes out at 1326 meV per atom. Its energy above the most stable polymorph in this dataset is 3.21 eV/f.u. The uncorrected energy comes out at -3.84 eV/atom.

---

Record 7
Crystalline TaTi2AgPb at its relaxed geometry. Source: Alexandria via LeMat-Bulk, functional PBE.

The structure belongs to space group P4/mmm (No. 123); the cell edges are 5.060, 5.060 and 4.927 Å and the angles 90.00°, 90.00° and 90.00°. The asymmetric unit holds Ta at (0.000, 0.000, 0.000), Ti at (0.000, 0.500, 0.500), Ag at (0.500, 0.500, 0.000) and Pb at (0.500, 0.500, 0.500).

The formation energy comes out at 1668 meV per atom. The uncorrected energy comes out at -5.17 eV/atom.

---

Record 8
Crystalline Ta2AgPbW at its relaxed geometry. Source: Alexandria via LeMat-Bulk, functional PBE.

The structure belongs to space group P4/mmm (No. 123); the cell edges are 5.064, 5.064 and 5.432 Å and the angles 90.00°, 90.00° and 90.00°. The asymmetric unit holds Ta at (0.000, 0.500, 0.000), Ag at (0.000, 0.000, 0.500), Pb at (0.500, 0.500, 0.500) and W at (0.500, 0.500, 0.000).

The formation energy comes out at 1553 meV per atom. The uncorrected energy comes out at -7.09 eV/atom.

---

Record 9
Crystalline Tb3Ag3Pb4 at its relaxed geometry. Source: Alexandria via LeMat-Bulk, functional PBE.

The structure belongs to space group I-43d (No. 220); the cell edges are 10.158, 10.158 and 10.158 Å and the angles 90.00°, 90.00° and 90.00°. The asymmetric unit holds Tb at (0.000, 0.250, 0.875), Ag at (0.000, 0.250, 0.375) and Pb at (0.093, 0.407, 0.593).

The formation energy comes out at -256 meV per atom. The uncorrected energy comes out at -3.98 eV/atom.

---

Record 10
Crystalline Tb6Ag5Pb at its relaxed geometry. Source: Alexandria via LeMat-Bulk, functional PBE.

The structure belongs to space group Cmmm (No. 65); the cell edges are 5.202, 15.665 and 7.393 Å and the angles 90.00°, 90.00° and 90.00°. The asymmetric unit holds Tb at (0.000, 0.000, 0.242), Tb at (0.000, 0.330, 0.244), Ag at (0.000, 0.166, 0.000), Ag at (0.000, 0.167, 0.500), Ag at (0.000, 0.500, 0.000) and Pb at (0.000, 0.500, 0.500).

The formation energy comes out at -336 meV per atom. The uncorrected energy comes out at -4.15 eV/atom.

---

Record 11
Crystalline Tb2Ag3Pb at its relaxed geometry. Source: Alexandria via LeMat-Bulk, functional PBE.

The structure belongs to space group Fmmm (No. 69); the cell edges are 6.904, 9.727 and 16.946 Å and the angles 90.00°, 90.00° and 90.00°. The asymmetric unit holds Tb at (0.241, 0.000, 0.000), Tb at (0.250, 0.250, 0.250), Ag at (0.000, 0.000, 0.165), Ag at (0.000, 0.245, 0.082) and Pb at (0.000, 0.000, 0.335).

The formation energy comes out at -289 meV per atom. Its energy above the most stable polymorph in this dataset is 0.02 eV/f.u. The uncorrected energy comes out at -3.88 eV/atom.

---

Record 12
Crystalline TbAgPb at its relaxed geometry. Source: Alexandria via LeMat-Bulk, functional PBE.

The structure belongs to space group P-6m2 (No. 187); the cell edges are 4.9304, 4.9304 and 3.5519 Å and the angles 90.00°, 90.00° and 120.00°. The asymmetric unit holds Tb at (0.0000, 0.0000, 0.0000), Ag at (0.3333, 0.6667, 0.5000) and Pb at (0.6667, 0.3333, 0.5000).

The formation energy comes out at -337 meV per atom. The uncorrected energy comes out at -4.07 eV/atom.